(1)
The following is a PBE calculation of a geometry-optimized CaGa2P2 structure, from Alexandria via LeMat-Bulk.

Results
As for the volume: 307.9 Å³/cell. The calculation puts the total magnetization at 0.0 μB/f.u. The formation energy is -0.499 eV per atom. The calculation puts the polymorph energy (0 for the lowest one) at 179 meV per atom.

abc: 3.8049 3.8049 24.5603
angles: 90.00 90.00 120.00
Space group R-3m (No. 166, hexagonal axes)
Inequivalent atoms, fractional coordinates:
Ca  0.0000  0.0000  0.0000 [3 per cell]
Ga  0.0000  0.0000  0.2117 [6 per cell]
P  0.0000  0.0000  0.4112 [6 per cell]


(2)
The following is a PBE calculation of a geometry-optimized HfTi3N3 structure, from Alexandria via LeMat-Bulk.

Results
As for the volume: 545.3 Å³/cell. The calculation puts the total magnetization at 0.0 μB/f.u. The value obtained for the uncorrected formation energy is -9.13 eV per formula unit.

abc: 5.3426 5.3426 22.0616
angles: 90.00 90.00 120.00
Space group R-3 (No. 148, hexagonal axes)
Inequivalent atoms, fractional coordinates:
Hf  0.0000  0.0000  0.1666 [6 per cell]
Ti  0.0000  0.3161  0.6079 [18 per cell]
N  0.0005  0.3472  0.4366 [18 per cell]


(3)
The following is a PBE calculation of a geometry-optimized LiGePbO2 structure, from Alexandria via LeMat-Bulk.

Results
As for the volume: 72.3 Å³/cell. The calculation puts the total magnetization at 0.0 μB/f.u. The value obtained for the uncorrected formation energy is -0.29 eV per formula unit.

abc: 4.1166 4.1166 4.2681
angles: 90.00 90.00 90.00
Space group P4/mmm (No. 123)
Inequivalent atoms, fractional coordinates:
Li  0.0000  0.0000  0.0000 [1 per cell]
Ge  0.0000  0.0000  0.5000 [1 per cell]
Pb  0.5000  0.5000  0.5000 [1 per cell]
O  0.0000  0.5000  0.0000 [2 per cell]


(4)
The following is a PBE calculation of a geometry-optimized InHRh3 structure, from Alexandria via LeMat-Bulk.

Results
As for the volume: 129.4 Å³/cell. The calculation puts the total magnetization at 0.0 μB/f.u. The calculation puts the polymorph energy (0 for the lowest one) at 55 meV per atom.

abc: 3.9658 3.9660 8.6939
angles: 103.17 103.17 90.01
Space group P-1 (No. 2)
Inequivalent atoms, fractional coordinates:
In  0.1198  0.1201  0.2400 [2 per cell]
H  0.2712  0.2683  0.5412 [2 per cell]
Rh  0.0000  0.5000  0.0000 [1 per cell]
Rh  0.2500  0.7496  0.5000 [2 per cell]
Rh  0.3800  0.3799  0.7596 [2 per cell]
Rh  0.5000  0.0000  0.0000 [1 per cell]


(5)
The following is a PBE calculation of a geometry-optimized K8I4BrCl3 structure, from Alexandria via LeMat-Bulk.

Results
As for the volume: 1901.6 Å³/cell. The calculation puts the total magnetization at 0.0 μB/f.u. The value obtained for the uncorrected formation energy is -26.89 eV per formula unit.

abc: 9.6011 9.6011 23.8192
angles: 90.00 90.00 120.00
Space group R-3m (No. 166, hexagonal axes)
Inequivalent atoms, fractional coordinates:
K  0.0000  0.0000  0.2409 [6 per cell]
K  0.0052  0.5026  0.7581 [18 per cell]
I  0.0000  0.0000  0.0000 [3 per cell]
I  0.0000  0.5000  0.0000 [9 per cell]
Br  0.0000  0.0000  0.5000 [3 per cell]
Cl  0.0000  0.5000  0.5000 [9 per cell]


(6)
The following is a PBE calculation of a geometry-optimized Tl2CdRhCl structure, from Alexandria via LeMat-Bulk.

Results
As for the volume: 146.1 Å³/cell. The calculation puts the total magnetization at 0.0 μB/f.u. The value obtained for the uncorrected formation energy is -1.37 eV per formula unit.

abc: 5.2935 5.2935 5.2123
angles: 90.00 90.00 90.00
Space group P4/mmm (No. 123)
Inequivalent atoms, fractional coordinates:
Tl  0.0000  0.5000  0.0000 [2 per cell]
Cd  0.0000  0.0000  0.5000 [1 per cell]
Rh  0.0000  0.0000  0.0000 [1 per cell]
Cl  0.5000  0.5000  0.5000 [1 per cell]


(7)
The following is a PBE calculation of a geometry-optimized TbY2Rh structure, from Alexandria via LeMat-Bulk.

Results
As for the volume: 362.8 Å³/cell. The calculation puts the total magnetization at 0.4 μB/f.u. The formation energy is -0.116 eV per atom. The calculation puts the polymorph energy (0 for the lowest one) at 398 meV per atom.

abc: 3.6378 3.6378 31.6582
angles: 90.00 90.00 120.00
Space group R-3m (No. 166, hexagonal axes)
Inequivalent atoms, fractional coordinates:
Tb  0.0000  0.0000  0.0000 [3 per cell]
Y  0.0000  0.0000  0.1104 [6 per cell]
Rh  0.0000  0.0000  0.5000 [3 per cell]


(8)
The following is a PBE calculation of a geometry-optimized Tb4ErSb5 structure, from Alexandria via LeMat-Bulk.

Results
As for the volume: 598.6 Å³/cell. The calculation puts the total magnetization at 0.0 μB/f.u. The value obtained for the uncorrected formation energy is -11.38 eV per formula unit.

abc: 4.3913 4.3913 31.0422
angles: 90.00 90.00 90.00
Space group I4/mmm (No. 139)
Inequivalent atoms, fractional coordinates:
Tb  0.0000  0.0000  0.0998 [4 per cell]
Tb  0.0000  0.0000  0.3003 [4 per cell]
Er  0.0000  0.0000  0.5000 [2 per cell]
Sb  0.0000  0.0000  0.0000 [2 per cell]
Sb  0.0000  0.0000  0.2000 [4 per cell]
Sb  0.0000  0.0000  0.4007 [4 per cell]